# 1
A plane-wave DFT calculation with PBE was carried out for an optimized crystal structure of LiTbGd.

## Properties
crystal system: tetragonal
energy relative to the lowest polymorph listed for this composition: 0 meV/atom

Cell lengths 6.8139, 6.8139, 6.8139 Å; angles 148.80, 148.80, 44.71 degrees
Atoms (fractional coordinates):
1 Li 0.0000 0.0000 0.0000
2 Tb 0.3463 0.3463 0.0000
3 Gd 0.6575 0.6575 0.0000

# 2
A plane-wave DFT calculation with PBE was carried out for an optimized crystal structure of Li2TbGd.

## Properties
crystal system: cubic
energy relative to the lowest polymorph listed for this composition: 6 meV/atom

Cell lengths 5.2673, 5.2673, 5.2673 Å; angles 60.00, 60.00, 60.00 degrees
Atoms (fractional coordinates):
1 Li 0.2500 0.2500 0.2500
2 Li 0.7500 0.7500 0.7500
3 Tb 0.0000 0.0000 0.0000
4 Gd 0.5000 0.5000 0.5000

# 3
A plane-wave DFT calculation with PBE was carried out for an optimized crystal structure of LiTb2Gd.

## Properties
crystal system: trigonal
energy relative to the lowest polymorph listed for this composition: 110 meV/atom

Cell lengths 12.3632, 12.3632, 12.3632 Å; angles 16.11, 16.11, 16.11 degrees
Atoms (fractional coordinates):
1 Li 0.0000 0.0000 0.0000
2 Tb 0.0885 0.0885 0.0885
3 Tb 0.9115 0.9115 0.9115
4 Gd 0.5000 0.5000 0.5000

# 4
A plane-wave DFT calculation with PBE was carried out for an optimized crystal structure of LiTbGd.

## Properties
crystal system: trigonal
energy relative to the lowest polymorph listed for this composition: 31 meV/atom

Cell lengths 3.4928, 3.4928, 8.3538 Å; angles 90.00, 90.00, 120.00 degrees
Atoms (fractional coordinates):
1 Li 0.0000 0.0000 0.0000
2 Tb 0.3333 0.6667 0.6714
3 Gd 0.6667 0.3333 0.3323

# 5
A plane-wave DFT calculation with PBE was carried out for an optimized crystal structure of LiTbGdTl.

## Properties
crystal system: cubic
VASP energy: -23.8 eV per cell

Cell lengths 5.3154, 5.3154, 5.3154 Å; angles 60.00, 60.00, 60.00 degrees
Atoms (fractional coordinates):
1 Li 0.0000 0.0000 0.0000
2 Tb 0.2500 0.2500 0.2500
3 Gd 0.7500 0.7500 0.7500
4 Tl 0.5000 0.5000 0.5000

# 6
A plane-wave DFT calculation with PBE was carried out for an optimized crystal structure of LiGd2Tc.

## Properties
crystal system: trigonal
VASP energy: -39.6 eV per cell

Cell lengths 9.9821, 9.9821, 9.9821 Å; angles 20.11, 20.11, 20.11 degrees
Atoms (fractional coordinates):
1 Li 0.0000 0.0000 0.0000
2 Gd 0.2352 0.2352 0.2352
3 Gd 0.7648 0.7648 0.7648
4 Tc 0.5000 0.5000 0.5000

# 7
A plane-wave DFT calculation with PBE was carried out for an optimized crystal structure of LiGd2Tc.

## Properties
crystal system: tetragonal
VASP energy: -40.5 eV per cell

Cell lengths 3.4712, 3.4712, 8.0990 Å; angles 90.00, 90.00, 90.00 degrees
Atoms (fractional coordinates):
1 Li 0.0000 0.0000 0.0000
2 Gd 0.5000 0.5000 0.2963
3 Gd 0.5000 0.5000 0.7037
4 Tc 0.0000 0.0000 0.5000

# 8
A plane-wave DFT calculation with PBE was carried out for an optimized crystal structure of LiGdTmTc.

## Properties
crystal system: cubic
VASP energy: -31.0 eV per cell

Cell lengths 4.9182, 4.9182, 4.9182 Å; angles 60.00, 60.00, 60.00 degrees
Atoms (fractional coordinates):
1 Li 0.0000 0.0000 0.0000
2 Gd 0.7500 0.7500 0.7500
3 Tm 0.2500 0.2500 0.2500
4 Tc 0.5000 0.5000 0.5000

no.,N(E_F) (states/eV per cell)
1,3.8
2,4.5
3,5.9
4,3.7
5,3.8
6,4.3
7,2.8
8,3.7